# 1
{
  "formula": "RbU2SbO8",
  "functional": "PBE",
  "state": "relaxed",
  "cell": [[-4.311, -0.261, 3.095], [-1.638, -4.502, -2.281], [3.667, -3.760, 4.790]],
  "species": ["Rb", "U", "U", "Sb", "O", "O", "O", "O", "O", "O", "O", "O"],
  "fractional_positions": [[0.000, 0.000, 0.500], [0.500, 0.500, 0.752], [0.500, 0.500, 0.248], [0.000, 0.000, 0.000], [0.232, 0.765, 0.215], [0.681, 0.684, 0.000], [0.768, 0.235, 0.215], [0.768, 0.235, 0.785], [0.319, 0.316, 0.000], [0.232, 0.765, 0.785], [0.655, 0.659, 0.500], [0.345, 0.341, 0.500]],
  "e_form_raw_kj_per_mol_fu": -2842,
  "m_tot_mub_per_cell": 0.0,
  "crystal_system": "monoclinic"
}

=====

# 2
{
  "formula": "PaNbTe2",
  "functional": "PBE",
  "state": "relaxed",
  "cell": [[3.383, 0.000, 0.000], [1.691, 2.930, 0.000], [1.691, 0.977, 10.418]],
  "species": ["Nb", "Pa", "Te", "Te"],
  "fractional_positions": [[0.000, 0.000, 0.000], [0.500, 0.500, 0.500], [0.088, 0.088, 0.735], [0.912, 0.912, 0.265]],
  "polymorph_energy_mev_per_atom": 627.3,
  "e_form_raw_kj_per_mol_fu": 68,
  "m_tot_mub_per_cell": 0.1,
  "crystal_system": "trigonal"
}

=====

# 3
{
  "formula": "K6H4S",
  "functional": "PBE",
  "state": "relaxed",
  "cell": [[4.238, 0.000, 0.000], [-2.119, 6.635, 0.000], [0.000, 0.000, 20.192]],
  "species": ["K", "K", "K", "K", "K", "K", "K", "K", "K", "K", "K", "K", "H", "H", "H", "H", "H", "H", "H", "H", "S", "S"],
  "fractional_positions": [[0.500, 0.000, 0.000], [0.500, 0.000, 0.500], [0.053, 0.106, 0.339], [0.947, 0.894, 0.661], [0.947, 0.894, 0.839], [0.053, 0.106, 0.161], [0.772, 0.543, 0.413], [0.228, 0.457, 0.587], [0.228, 0.457, 0.913], [0.772, 0.543, 0.087], [0.326, 0.652, 0.250], [0.674, 0.348, 0.750], [0.862, 0.724, 0.539], [0.407, 0.815, 0.124], [0.138, 0.276, 0.461], [0.593, 0.185, 0.876], [0.862, 0.724, 0.961], [0.138, 0.276, 0.039], [0.593, 0.185, 0.624], [0.407, 0.815, 0.376], [0.663, 0.325, 0.250], [0.337, 0.675, 0.750]],
  "m_tot_mub_per_cell": 0.0,
  "final_energy_ev_per_atom": -2.6067,
  "crystal_system": "orthorhombic"
}

=====

# 4
{
  "formula": "KNaMg2Tl",
  "functional": "PBE",
  "state": "relaxed",
  "cell": [[5.757, 0.000, 0.000], [0.000, 5.830, 0.000], [0.000, 0.000, 5.757]],
  "species": ["Mg", "Mg", "Na", "Tl", "K"],
  "fractional_positions": [[0.000, 0.000, 0.500], [0.500, 0.000, 0.000], [0.000, 0.000, 0.000], [0.000, 0.500, 0.000], [0.500, 0.500, 0.500]],
  "polymorph_energy_mev_per_atom": 239.9,
  "ef_ev_per_atom": 0.3574,
  "m_tot_mub_per_cell": 0.0,
  "crystal_system": "tetragonal"
}

=====

# 5
{
  "formula": "Nd2MgAl",
  "functional": "PBE",
  "state": "relaxed",
  "cell": [[-4.465, 2.848, 0.877], [-3.733, -1.837, 3.393], [-0.752, 2.423, 4.731]],
  "species": ["Mg", "Nd", "Nd", "Al"],
  "fractional_positions": [[0.000, 0.000, 0.000], [0.750, 0.750, 0.750], [0.250, 0.250, 0.250], [0.500, 0.500, 0.500]],
  "polymorph_energy_mev_per_atom": 0.0,
  "ef_ev_per_atom": -0.2556,
  "m_tot_mub_per_cell": 0.0,
  "crystal_system": "cubic"
}

=====

# 6
{
  "formula": "Cs2Pb2I",
  "functional": "PBE",
  "state": "relaxed",
  "cell": [[4.584, 0.000, 0.000], [0.000, 4.584, 0.000], [2.292, 2.292, 11.526]],
  "species": ["Pb", "Pb", "Cs", "Cs", "I"],
  "fractional_positions": [[0.750, 0.250, 0.500], [0.250, 0.750, 0.500], [0.402, 0.402, 0.196], [0.598, 0.598, 0.804], [0.000, 0.000, 0.000]],
  "polymorph_energy_mev_per_atom": 0.0,
  "e_form_raw_kj_per_mol_fu": -289,
  "m_tot_mub_per_cell": 0.0,
  "crystal_system": "tetragonal"
}